# 1
# YTl2Pb

A relaxed structure of YTl2Pb (PBE, Alexandria).

Values from the calculation:
- Total moment: 0.00 Bohr magnetons per cell
- Energy: -3.93 eV per atom

a b c (Å): 6.178 6.178 6.178
angles (deg): 136.03 136.03 63.94
Atoms (fractional coordinates):
Y (0.000, 0.000, 0.000)
Tl (0.250, 0.750, 0.500)
Tl (0.750, 0.250, 0.500)
Pb (0.500, 0.500, 0.000)

=====

# 2
# ZrScCu

A relaxed structure of ZrScCu (PBE, Alexandria).

Values from the calculation:
- Total moment: 0.89 Bohr magnetons per cell
- Energy above the lowest structure with this stoichiometry: 0.344 eV/atom
- Energy: -6.13 eV per atom

a b c (Å): 4.506 4.506 4.506
angles (deg): 119.96 119.96 90.07
Atoms (fractional coordinates):
Zr (0.000, 0.000, 0.000)
Sc (0.500, 0.500, 0.000)
Cu (0.250, 0.750, 0.500)

=====

# 3
# LiAc2Mg6Ni

A relaxed structure of LiAc2Mg6Ni (PBE, Alexandria).

Values from the calculation:
- Total moment: 0.00 Bohr magnetons per cell
- Energy: -2.58 eV per atom

a b c (Å): 7.159 7.159 7.154
angles (deg): 119.85 119.85 90.21
Atoms (fractional coordinates):
Li (0.000, 0.000, 0.000)
Ac (0.250, 0.750, 0.500)
Ac (0.750, 0.250, 0.500)
Mg (0.257, 0.257, 0.000)
Mg (0.258, 0.258, 0.515)
Mg (0.258, 0.742, 0.000)
Mg (0.742, 0.258, 0.000)
Mg (0.742, 0.742, 0.485)
Mg (0.743, 0.743, 0.000)
Ni (0.500, 0.500, 0.000)

=====

# 4
# HgIr3Pd

A relaxed structure of HgIr3Pd (PBE, Alexandria).

Values from the calculation:
- Total moment: 3.58 Bohr magnetons per cell
- Energy above the lowest structure with this stoichiometry: 0.000 eV/atom
- Energy: -4.40 eV per atom

a b c (Å): 4.783 4.783 4.783
angles (deg): 90.00 90.00 90.00
Atoms (fractional coordinates):
Hg (0.000, 0.000, 0.000)
Ir (0.000, 0.500, 0.500)
Ir (0.500, 0.000, 0.500)
Ir (0.500, 0.500, 0.000)
Pd (0.500, 0.500, 0.500)

=====

# 5
# Pr8Tm4Sc

A relaxed structure of Pr8Tm4Sc (PBE, Alexandria).

Values from the calculation:
- Total moment: 0.00 Bohr magnetons per cell
- Energy: -4.63 eV per atom

a b c (Å): 10.558 10.558 10.558
angles (deg): 40.08 40.08 40.08
Atoms (fractional coordinates):
Pr (0.213, 0.213, 0.213)
Pr (0.213, 0.748, 0.748)
Pr (0.252, 0.252, 0.787)
Pr (0.252, 0.787, 0.252)
Pr (0.748, 0.213, 0.748)
Pr (0.748, 0.748, 0.213)
Pr (0.787, 0.252, 0.252)
Pr (0.787, 0.787, 0.787)
Tm (0.000, 0.000, 0.000)
Tm (0.000, 0.500, 0.500)
Tm (0.500, 0.000, 0.500)
Tm (0.500, 0.500, 0.000)
Sc (0.500, 0.500, 0.500)

=====

# 6
# Tm6AsC3

A relaxed structure of Tm6AsC3 (PBE, Alexandria).

Values from the calculation:
- Total moment: 2.64 Bohr magnetons per cell
- Energy: -6.45 eV per atom

a b c (Å): 10.236 3.631 12.189
angles (deg): 90.00 114.15 90.00
Atoms (fractional coordinates):
Tm (0.019, 0.250, 0.254)
Tm (0.143, 0.750, 0.575)
Tm (0.181, 0.750, 0.091)
Tm (0.330, 0.750, 0.391)
Tm (0.348, 0.250, 0.925)
Tm (0.476, 0.250, 0.223)
Tm (0.524, 0.750, 0.777)
Tm (0.652, 0.750, 0.075)
Tm (0.670, 0.250, 0.609)
Tm (0.819, 0.250, 0.909)
Tm (0.857, 0.250, 0.425)
Tm (0.981, 0.750, 0.746)
As (0.373, 0.250, 0.585)
As (0.627, 0.750, 0.415)
C (0.011, 0.250, 0.630)
C (0.248, 0.250, 0.240)
C (0.408, 0.750, 0.070)
C (0.592, 0.250, 0.930)
C (0.752, 0.750, 0.760)
C (0.989, 0.750, 0.370)

=====

> Among the records above, which one has the highest total moment?

HgIr3Pd

=====

> Look up the energy of the sixth one.

-6.45 eV per atom